DFT (PBE) results for a geometry-optimized YPW2 structure.

```
YPW2
1.0
-2.635 -1.966 -3.296
2.750 -1.829 -1.108
-0.638 -3.708 2.721
P W Y
1 2 1
Cartesian
0.057 -1.897 -2.202
1.682 -2.042 -0.127
0.430 -3.495 1.740
-1.637 -2.837 -0.288
```

## Properties
ΔH_f (0 K) (eV/atom): 0.266

***

DFT (PBE) results for a geometry-optimized ScP2Cl structure.

```
ScP2Cl
1.0
-0.015 0.527 -3.614
3.339 -1.439 -0.223
0.987 -6.742 -0.987
Sc Cl P
1 1 2
Cartesian
1.074 -1.782 -2.109
3.238 -5.873 -2.714
3.178 -1.799 -0.275
2.325 -3.730 -0.553
```

## Properties
Formation energy without anion corrections (kJ per mole of atoms): -59.8

***

DFT (PBE) results for a geometry-optimized Th2ZrTi structure.

```
Th2ZrTi
1.0
4.668 0.000 0.000
0.000 4.761 0.000
0.000 0.000 4.761
Zr Th Ti
1 2 1
Cartesian
2.334 2.380 2.380
0.000 2.380 0.000
0.000 0.000 2.380
2.334 0.000 0.000
```

## Properties
ΔH_f (0 K) (eV/atom): 0.216

***

DFT (PBE) results for a geometry-optimized In2SbRh structure.

```
In2SbRh
1.0
-6.001 3.809 -0.921
-5.910 1.967 -3.546
-3.350 -2.391 1.562
In Sb Rh
2 1 1
Cartesian
-4.913 -0.900 0.462
-10.348 4.285 -3.367
-1.675 -1.196 0.781
-5.956 2.888 -2.234
```

## Properties
Formation energy without anion corrections (kJ per mole of atoms): -7.8

***

DFT (PBE) results for a geometry-optimized CoP2 structure.

```
CoP2
1.0
1.551 3.781 -0.001
-1.551 3.781 -0.001
0.000 0.170 7.030
P Co
4 2
Cartesian
0.000 4.534 5.173
0.000 4.617 1.859
0.000 3.220 6.980
0.000 6.439 3.217
0.000 2.261 4.834
0.000 0.895 0.192
```

## Properties
ΔH_f (0 K) (eV/atom): -0.145

***

DFT (PBE) results for a geometry-optimized AsIO structure.

```
AsIO
1.0
0.066 0.763 2.991
-5.619 -1.979 -0.953
3.758 -9.367 1.363
O As I
2 2 2
Cartesian
2.036 -8.979 2.896
-3.831 -1.604 0.505
-1.038 -0.801 0.227
-0.757 -9.782 3.174
-1.981 -7.611 1.053
0.187 -2.972 2.348
```

## Properties
Formation energy without anion corrections (kJ per mole of atoms): -41.3